Entry 1:
# Nd3Y2HoS6 (PBE, optimized geometry)
# Crystal system   monoclinic
# DOS(E_F)   10.81 states/eV/cell
# E_form (uncorrected)   -46.5 kcal/mol of atoms
# Total DFT energy (no corrections)   -6.73 eV/atom
data_Nd3Y2HoS6
_chemical_formula_sum 'Nd6 Y4 Ho2 S12'
_cell_length_a 6.855
_cell_length_b 11.913
_cell_length_c 6.979
_cell_angle_alpha 90.00
_cell_angle_beta 109.18
_cell_angle_gamma 90.00
_space_group_name_H-M_alt 'C 1 2/m 1'
_space_group_IT_number 12
loop_
_space_group_symop_operation_xyz
'x,y,z'
'-x,-y,-z'
'-x,y,-z'
'x,-y,z'
'x+1/2,y+1/2,z'
'-x+1/2,-y+1/2,-z'
'-x+1/2,y+1/2,-z'
'x+1/2,-y+1/2,z'
loop_
_atom_site_label
_atom_site_fract_x
_atom_site_fract_y
_atom_site_fract_z
_atom_site_occupancy
Nd1 0.000 0.000 0.000 1
Nd2 0.000 0.332 0.000 1
Y1 0.000 0.167 0.500 1
Ho1 0.000 0.500 0.500 1
S1 0.244 0.334 0.734 1
S2 0.247 0.000 0.735 1



Entry 2:
# NdYHo4S8 (PBE, optimized geometry)
# Crystal system   trigonal
# DOS(E_F)   25.52 states/eV/cell
# E_form (uncorrected)   -44.4 kcal/mol of atoms
# Total DFT energy (no corrections)   -6.40 eV/atom
data_NdYHo4S8
_chemical_formula_sum 'Nd3 Y3 Ho12 S24'
_cell_length_a 8.0662
_cell_length_b 8.0662
_cell_length_c 19.8053
_cell_angle_alpha 90.00
_cell_angle_beta 90.00
_cell_angle_gamma 120.00
_space_group_name_H-M_alt 'R 3 m'
_space_group_IT_number 160
_space_group_name_Hall 'R 3 -2"'
loop_
_atom_site_label
_atom_site_fract_x
_atom_site_fract_y
_atom_site_fract_z
_atom_site_occupancy
Nd1 0.0000 0.0000 0.0000 1
Y1 0.0000 0.0000 0.6247 1
Ho1 0.0000 0.0000 0.2507 1
Ho2 0.0019 0.5009 0.1257 1
S1 0.0000 0.0000 0.3827 1
S2 0.0000 0.0000 0.8637 1
S3 0.0289 0.5145 0.3799 1
S4 0.1753 0.3505 0.2057 1



Entry 3:
# NdY4Ho3S8 (PBE, optimized geometry)
# Crystal system   trigonal
# DOS(E_F)   27.10 states/eV/cell
# E_form (uncorrected)   -45.7 kcal/mol of atoms
# Total DFT energy (no corrections)   -6.82 eV/atom
data_NdY4Ho3S8
_chemical_formula_sum 'Nd3 Y12 Ho9 S24'
_cell_length_a 7.8582
_cell_length_b 7.8582
_cell_length_c 19.2185
_cell_angle_alpha 90.00
_cell_angle_beta 90.00
_cell_angle_gamma 120.00
_space_group_name_H-M_alt 'R -3 m'
_space_group_IT_number 166
_space_group_name_Hall '-R 3 2"'
loop_
_atom_site_label
_atom_site_fract_x
_atom_site_fract_y
_atom_site_fract_z
_atom_site_occupancy
Nd1 0.0000 0.0000 0.0000 1
Y1 0.0000 0.0000 0.5000 1
Y2 0.0000 0.5000 0.5000 1
Ho1 0.0000 0.5000 0.0000 1
S1 0.0000 0.0000 0.2512 1
S2 0.0081 0.5040 0.2492 1



Entry 4:
# Nd3YHo2S6 (PBE, optimized geometry)
# Crystal system   monoclinic
# DOS(E_F)   10.77 states/eV/cell
# E_form (uncorrected)   -46.4 kcal/mol of atoms
# Total DFT energy (no corrections)   -6.57 eV/atom
data_Nd3YHo2S6
_chemical_formula_sum 'Nd6 Y2 Ho4 S12'
_cell_length_a 6.839
_cell_length_b 11.886
_cell_length_c 6.980
_cell_angle_alpha 90.00
_cell_angle_beta 109.13
_cell_angle_gamma 90.00
_space_group_name_H-M_alt 'C 1 2/m 1'
_space_group_IT_number 12
loop_
_space_group_symop_operation_xyz
'x,y,z'
'-x,-y,-z'
'-x,y,-z'
'x,-y,z'
'x+1/2,y+1/2,z'
'-x+1/2,-y+1/2,-z'
'-x+1/2,y+1/2,-z'
'x+1/2,-y+1/2,z'
loop_
_atom_site_label
_atom_site_fract_x
_atom_site_fract_y
_atom_site_fract_z
_atom_site_occupancy
Nd1 0.000 0.000 0.000 1
Nd2 0.000 0.334 0.000 1
Y1 0.000 0.500 0.500 1
Ho1 0.000 0.167 0.500 1
S1 0.242 0.000 0.733 1
S2 0.245 0.332 0.734 1



Entry 5:
# Nd3YHo3S8 (PBE, optimized geometry)
# Crystal system   trigonal
# DOS(E_F)   20.76 states/eV/cell
# E_form (uncorrected)   -47.3 kcal/mol of atoms
# Total DFT energy (no corrections)   -6.55 eV/atom
data_Nd3YHo3S8
_chemical_formula_sum 'Nd9 Y3 Ho9 S24'
_cell_length_a 7.8896
_cell_length_b 7.8896
_cell_length_c 19.6561
_cell_angle_alpha 90.00
_cell_angle_beta 90.00
_cell_angle_gamma 120.00
_space_group_name_H-M_alt 'R -3 m'
_space_group_IT_number 166
_space_group_name_Hall '-R 3 2"'
loop_
_atom_site_label
_atom_site_fract_x
_atom_site_fract_y
_atom_site_fract_z
_atom_site_occupancy
Nd1 0.0000 0.5000 0.0000 1
Y1 0.0000 0.0000 0.5000 1
Ho1 0.0000 0.5000 0.5000 1
S1 0.0000 0.0000 0.2445 1
S2 0.0042 0.5021 0.7545 1



Entry 6:
# Nd2YHoS4 (PBE, optimized geometry)
# Crystal system   monoclinic
# DOS(E_F)   4.18 states/eV/cell
# E_form (uncorrected)   -46.4 kcal/mol of atoms
# Total DFT energy (no corrections)   -6.65 eV/atom
data_Nd2YHoS4
_chemical_formula_sum 'Nd2 Y1 Ho1 S4'
_cell_length_a 6.852
_cell_length_b 3.929
_cell_length_c 7.026
_cell_angle_alpha 90.00
_cell_angle_beta 108.77
_cell_angle_gamma 90.00
_space_group_name_H-M_alt 'P 1 2/m 1'
_space_group_IT_number 10
loop_
_space_group_symop_operation_xyz
'x,y,z'
'-x,-y,-z'
'-x,y,-z'
'x,-y,z'
loop_
_atom_site_label
_atom_site_fract_x
_atom_site_fract_y
_atom_site_fract_z
_atom_site_occupancy
Nd1 0.000 0.000 0.000 1
Nd2 0.500 0.500 0.000 1
Y1 0.000 0.500 0.500 1
Ho1 0.500 0.000 0.500 1
S1 0.246 0.000 0.734 1
S2 0.257 0.500 0.267 1



Entry 7:
# NdYHo2S6 (PBE, optimized geometry)
# Crystal system   trigonal
# DOS(E_F)   0.00 states/eV/cell
# E_form (uncorrected)   -47.2 kcal/mol of atoms
# Total DFT energy (no corrections)   -6.56 eV/atom
data_NdYHo2S6
_chemical_formula_sum 'Nd3 Y3 Ho6 S18'
_cell_length_a 6.9706
_cell_length_b 6.9706
_cell_length_c 18.5464
_cell_angle_alpha 90.00
_cell_angle_beta 90.00
_cell_angle_gamma 120.00
_space_group_name_H-M_alt 'R 3'
_space_group_IT_number 146
_space_group_name_Hall 'R 3'
loop_
_atom_site_label
_atom_site_fract_x
_atom_site_fract_y
_atom_site_fract_z
_atom_site_occupancy
Nd1 0.0000 0.0000 0.0000 1
Y1 0.0000 0.0000 0.4947 1
Ho1 0.0000 0.0000 0.2926 1
Ho2 0.0000 0.0000 0.7958 1
S1 0.0059 0.3064 0.8922 1
S2 0.0206 0.7156 0.3928 1



Entry 8:
# NdHoSb (PBE, optimized geometry)
# Crystal system   trigonal
# DOS(E_F)   3.03 states/eV/cell
# E_form (uncorrected)   -10.5 kcal/mol of atoms
# Total DFT energy (no corrections)   -4.95 eV/atom
data_NdHoSb
_chemical_formula_sum 'Nd1 Ho1 Sb1'
_cell_length_a 5.0945
_cell_length_b 5.0945
_cell_length_c 4.1284
_cell_angle_alpha 90.00
_cell_angle_beta 90.00
_cell_angle_gamma 120.00
_space_group_name_H-M_alt 'P 3 m 1'
_space_group_IT_number 156
loop_
_space_group_symop_operation_xyz
'x,y,z'
'-y,x-y,z'
'-x+y,-x,z'
'-y,-x,z'
'-x+y,y,z'
'x,x-y,z'
loop_
_atom_site_label
_atom_site_fract_x
_atom_site_fract_y
_atom_site_fract_z
_atom_site_occupancy
Nd1 0.0000 0.0000 0.0000 1
Ho1 0.3333 0.6667 0.5219 1
Sb1 0.6667 0.3333 0.3612 1



Entry 9:
# Nd3HoSb3 (PBE, optimized geometry)
# Crystal system   trigonal
# DOS(E_F)   28.65 states/eV/cell
# E_form (uncorrected)   -21.6 kcal/mol of atoms
# Total DFT energy (no corrections)   -5.40 eV/atom
data_Nd3HoSb3
_chemical_formula_sum 'Nd18 Ho6 Sb18'
_cell_length_a 9.1755
_cell_length_b 9.1755
_cell_length_c 18.9288
_cell_angle_alpha 90.00
_cell_angle_beta 90.00
_cell_angle_gamma 120.00
_space_group_name_H-M_alt 'R -3'
_space_group_IT_number 148
_space_group_name_Hall '-R 3'
loop_
_atom_site_label
_atom_site_fract_x
_atom_site_fract_y
_atom_site_fract_z
_atom_site_occupancy
Nd1 0.0054 0.2658 0.0872 1
Ho1 0.0000 0.0000 0.3327 1
Sb1 0.0053 0.3908 0.9217 1



Entry 10:
# Nd2HoSb4 (PBE, optimized geometry)
# Crystal system   tetragonal
# DOS(E_F)   2.17 states/eV/cell
# E_form (uncorrected)   -19.7 kcal/mol of atoms
# Total DFT energy (no corrections)   -5.23 eV/atom
data_Nd2HoSb4
_chemical_formula_sum 'Nd2 Ho1 Sb4'
_cell_length_a 4.345
_cell_length_b 4.345
_cell_length_c 11.755
_cell_angle_alpha 90.00
_cell_angle_beta 90.00
_cell_angle_gamma 90.00
_space_group_name_H-M_alt 'P -4 m 2'
_space_group_IT_number 115
loop_
_space_group_symop_operation_xyz
'x,y,z'
'y,-x,-z'
'-x,-y,z'
'-y,x,-z'
'-x,y,z'
'-y,-x,-z'
'x,-y,z'
'y,x,-z'
loop_
_atom_site_label
_atom_site_fract_x
_atom_site_fract_y
_atom_site_fract_z
_atom_site_occupancy
Nd1 0.000 0.500 0.211 1
Ho1 0.000 0.000 0.500 1
Sb1 0.000 0.000 0.000 1
Sb2 0.000 0.500 0.679 1
Sb3 0.500 0.500 0.000 1